1.
Material: Cs2SrMnCl6
Method: DFT, PBE
State: relaxed

```
10
Lattice="-4.794 1.849 -4.537 4.452 -2.305 -5.645 -4.866 -4.818 3.178" Properties=species:S:1:pos:R:3 pbc="T T T"
Cs -2.614 -3.651 -0.571
Cs -2.594 -1.623 -6.432
Cl -4.860 -4.217 -4.867
Cl -0.574 -4.946 -3.482
Cl -0.348 -1.057 -2.136
Cl -4.634 -0.328 -3.521
Cl 2.082 -2.315 -5.217
Cl -7.290 -2.959 -1.786
Sr -2.397 0.925 -2.268
Mn 0.000 0.000 0.000
```

The value obtained for the size of the total moment is 0.92 μB per formula unit. The total energy is -40.132 eV/f.u. As for the space-group type: P-3m1 (164). The value obtained for the formation energy from raw total energies is -1649 meV/atom. The volume is 33.84 Å³/atom. For the polymorph energy (0 for the lowest one), the calculation gives 0.242 eV per atom.

=====

2.
Material: CsSrMn2Cl8
Method: DFT, PBE
State: relaxed

```
12
Lattice="6.816 0.000 0.000 -3.408 5.902 0.000 0.000 0.000 10.075" Properties=species:S:1:pos:R:3 pbc="T T T"
Sr 0.000 0.000 5.037
Cs 0.000 0.000 0.000
Mn 3.408 1.967 2.553
Mn 0.000 3.935 7.522
Cl 0.000 3.935 9.745
Cl 3.408 1.967 0.330
Cl -1.073 1.996 6.875
Cl -1.143 5.833 6.875
Cl 4.551 0.069 3.199
Cl 4.480 3.906 3.199
Cl 1.192 1.927 3.199
Cl 2.215 3.975 6.875
```

The value obtained for the size of the total moment is 9.00 μB per formula unit. The total energy is -53.861 eV/f.u. As for the space-group type: P-3 (147). The value obtained for the formation energy from raw total energies is -1518 meV/atom. The volume is 33.77 Å³/atom.

=====

3.
Material: Cs2TaMnCl6
Method: DFT, PBE
State: relaxed

```
10
Lattice="7.281 0.000 0.000 0.000 7.281 0.000 3.640 3.640 5.148" Properties=species:S:1:pos:R:3 pbc="T T T"
Cl 5.469 5.469 0.000
Cl 5.469 1.812 0.000
Cl 1.812 1.812 0.000
Cl 3.640 3.640 2.587
Cl 7.281 7.281 2.561
Cl 1.812 5.469 0.000
Cs 7.281 3.640 2.574
Cs 3.640 7.281 2.574
Mn 3.640 3.640 0.000
Ta 0.000 0.000 0.000
```

The value obtained for the size of the total moment is 7.37 μB per formula unit. The total energy is -46.028 eV/f.u. As for the space-group type: Fm-3m (225). The value obtained for the formation energy from raw total energies is -1222 meV/atom. The volume is 27.29 Å³/atom.

=====

4.
Material: CsTbMnCl6
Method: DFT, PBE
State: relaxed

```
9
Lattice="-4.018 -0.280 5.549 1.588 -4.208 5.174 4.182 5.652 3.313" Properties=species:S:1:pos:R:3 pbc="T T T"
Cl 0.725 -1.005 6.398
Cl 0.341 -2.598 9.600
Cl -2.072 -0.167 8.499
Cl 2.915 -0.350 9.552
Cl 0.999 2.115 7.766
Cl -0.079 1.008 11.014
Cs 4.182 5.652 3.313
Mn 0.471 -0.166 8.805
Tb 1.281 1.330 5.231
```

The value obtained for the size of the total moment is 5.00 μB per formula unit. The total energy is -42.520 eV/f.u. As for the space-group type: P312 (149). The value obtained for the formation energy from raw total energies is -1865 meV/atom. The volume is 35.16 Å³/atom.

=====

5.
Material: CsTbMn2Cl8
Method: DFT, PBE
State: relaxed

```
12
Lattice="6.490 0.000 0.000 3.245 5.621 0.000 3.245 1.874 10.869" Properties=species:S:1:pos:R:3 pbc="T T T"
Cl 8.553 3.702 7.154
Cl 8.553 3.792 3.715
Cl 5.498 1.939 3.715
Cl 5.420 5.511 3.715
Cl 5.498 5.556 7.154
Cl 5.420 1.984 7.154
Cl 9.736 5.621 10.214
Cl 3.245 1.874 0.655
Tb 6.490 3.747 5.434
Mn 9.736 5.621 7.938
Mn 3.245 1.874 2.930
Cs 0.000 0.000 0.000
```

The value obtained for the size of the total moment is 10.00 μB per formula unit. The total energy is -57.959 eV/f.u. As for the space-group type: R32 (155). The value obtained for the formation energy from raw total energies is -1614 meV/atom. The volume is 33.04 Å³/atom.

=====

6.
Material: CsMnTeCl6
Method: DFT, PBE
State: relaxed

```
9
Lattice="7.337 -0.003 0.239 3.670 5.778 0.120 0.230 -0.003 7.770" Properties=species:S:1:pos:R:3 pbc="T T T"
Cl 8.513 2.298 2.462
Cl 9.727 3.660 5.565
Cl 8.376 5.741 2.745
Cl 5.176 3.661 2.683
Cl 6.388 2.295 5.787
Cl 6.529 5.738 5.503
Te 3.784 1.917 4.003
Mn 7.457 3.646 4.130
Cs 3.900 5.681 7.890
```

The value obtained for the size of the total moment is 6.03 μB per formula unit. The total energy is -33.247 eV/f.u. As for the space-group type: P1 (1). The value obtained for the formation energy from raw total energies is -1000 meV/atom. The volume is 36.57 Å³/atom.

=====

7.
Material: Cs2MnTeCl6
Method: DFT, PBE
State: relaxed

```
10
Lattice="-6.553 -1.969 3.979 -3.693 -1.522 -6.834 -3.458 -6.821 -1.196" Properties=species:S:1:pos:R:3 pbc="T T T"
Cs -6.137 -5.044 -4.729
Cs -7.567 -5.268 0.678
Cl -4.261 -4.373 -1.308
Cl -5.718 -1.838 0.820
Cl -2.993 -1.020 -0.834
Cl -4.528 -1.652 -3.675
Cl -9.443 -5.939 -2.743
Cl -7.253 -2.471 -2.021
Te 0.000 0.000 0.000
Mn -5.123 -1.745 -1.427
```

The value obtained for the size of the total moment is 5.00 μB per formula unit. The total energy is -37.080 eV/f.u. As for the space-group type: I4/mmm (139). The value obtained for the formation energy from raw total energies is -1198 meV/atom. The volume is 33.50 Å³/atom.

=====

8.
Material: CsMn2TeCl
Method: DFT, PBE
State: relaxed

```
5
Lattice="-0.608 3.588 3.517 0.738 -4.333 4.549 4.990 0.847 -0.003" Properties=species:S:1:pos:R:3 pbc="T T T"
Cl 0.000 0.000 0.000
Mn 2.495 0.424 -0.001
Mn -0.304 1.794 1.758
Te 2.560 0.051 4.032
Cs 0.369 -2.167 2.274
```

The value obtained for the size of the total moment is 9.14 μB per formula unit. The total energy is -22.444 eV/f.u. As for the space-group type: P4/mmm (123). The value obtained for the formation energy from raw total energies is 347 meV/atom. The volume is 32.40 Å³/atom.

=====

9.
Material: CsTiMn2Cl8
Method: DFT, PBE
State: relaxed

```
12
Lattice="-5.258 3.471 -0.265 -3.696 0.517 5.083 2.608 10.045 4.786" Properties=species:S:1:pos:R:3 pbc="T T T"
Mn -1.370 3.846 2.524
Mn -4.977 10.187 7.080
Cl -5.595 6.762 4.320
Cl -1.935 7.437 6.913
Cl -2.549 2.009 1.854
Cl -1.192 8.104 3.775
Cl -3.798 12.024 7.750
Cl -3.919 9.363 5.124
Cl -2.928 5.617 2.766
Cl -3.470 4.816 5.914
Ti -3.173 7.017 4.802
Cs 0.000 0.000 0.000
```

The value obtained for the size of the total moment is 11.00 μB per formula unit. The total energy is -57.791 eV/f.u. As for the space-group type: R32 (155). The value obtained for the formation energy from raw total energies is -1328 meV/atom. The volume is 31.09 Å³/atom.

=====

10.
Material: Cs2MnTlCl6
Method: DFT, PBE
State: relaxed

```
10
Lattice="-1.477 7.227 2.074 -7.516 -1.357 -0.623 -4.652 1.409 5.931" Properties=species:S:1:pos:R:3 pbc="T T T"
Cl -5.842 1.022 0.124
Cl -2.492 1.627 0.402
Cl -9.079 5.024 4.335
Cl -4.566 2.254 3.047
Cl -6.501 4.243 1.049
Cl -3.150 4.848 1.327
Tl 0.000 0.000 0.000
Mn -4.496 2.935 0.726
Cs -8.332 1.493 3.017
Cs -5.313 5.785 4.365
```

The value obtained for the size of the total moment is 4.00 μB per formula unit. The total energy is -38.684 eV/f.u. As for the space-group type: I4/mmm (139). The value obtained for the formation energy from raw total energies is -1436 meV/atom. The volume is 31.86 Å³/atom.

=====

11.
Material: Cs2Mn2TlCl7
Method: DFT, PBE
State: relaxed

```
12
Lattice="-0.863 -3.996 3.119 2.594 -3.066 -3.211 12.324 -0.794 6.615" Properties=species:S:1:pos:R:3 pbc="T T T"
Cl 11.545 -2.820 3.804
Cl 0.865 -3.531 -0.046
Cl 4.238 -4.572 -0.445
Cl 5.141 -2.516 2.439
Cl 8.913 -5.340 4.084
Cl 2.510 -5.037 2.719
Cl 9.817 -3.285 6.968
Cs 8.168 -1.780 4.200
Cs 5.887 -6.076 2.323
Mn 11.033 -4.838 5.316
Mn 3.022 -3.019 1.207
Tl 0.000 0.000 0.000
```

The value obtained for the size of the total moment is 10.00 μB per formula unit. The total energy is -52.013 eV/f.u. As for the space-group type: C2/m (12). The value obtained for the formation energy from raw total energies is -1389 meV/atom. The volume is 29.82 Å³/atom.

=====

12.
Material: CsMnTl2Cl5
Method: DFT, PBE
State: relaxed

```
18
Lattice="-0.155 8.451 2.514 -8.813 -0.232 0.238 4.732 -6.227 5.758" Properties=species:S:1:pos:R:3 pbc="T T T"
Cl -2.966 -0.324 5.432
Cl 1.408 1.545 5.835
Cl -4.484 4.110 1.376
Cl -5.643 0.447 2.675
Cl -1.269 2.316 3.077
Cl 1.264 4.857 3.744
Cl 0.000 0.000 0.000
Cl -3.019 -1.958 1.870
Cl -5.500 -2.865 4.766
Cl -1.216 3.950 6.640
Tl -1.606 5.627 1.726
Tl -2.930 1.365 0.507
Tl -7.361 2.592 1.025
Tl -6.037 6.855 2.245
Mn -4.282 -1.175 3.686
Mn 0.047 3.167 4.824
Cs 0.124 -1.059 3.567
Cs -4.360 3.051 4.943
```

The value obtained for the size of the total moment is 5.00 μB per formula unit. The total energy is -35.587 eV/f.u. As for the space-group type: I4/mcm (140). The value obtained for the formation energy from raw total energies is -1289 meV/atom. The volume is 32.17 Å³/atom.